Material: La4NiHg
Method: DFT, PBEsol
State: optimized geometry

Geometry as POSCAR:
```
La4NiHg
1.0
-2.3244 -2.4737 -5.1816
1.7779 -5.6539 -1.8010
-3.9631 -4.7485 0.3421
Ni La Hg
1 4 1
Cartesian
-3.3822 -9.6571 -4.9804
-0.8085 -7.6502 -3.3904
-3.6665 -7.1994 -2.3235
-2.8507 -6.0670 -5.0734
-1.6936 -4.8355 -2.4938
0.0000 0.0000 0.0000
```

Properties
As for the space group: F-43m, No. 216. As for the crystal system: cubic. The calculation puts the energy of formation at 0.52 eV per atom. The calculation puts the size of the total moment at 0.00 μB/cell. Its calculated total energy is -24.97 eV/cell. The value obtained for the theoretical density is 8.05 g/cm³.